<1>
A plane-wave DFT calculation with PBE-GGA was carried out for a relaxed structure of Er3Tm.

Summary:
* calculated volume: 30.57 A^3/atom

a = 6.590 Å, b = 6.590 Å, c = 6.590 Å
α = 148.54°, β = 65.58°, γ = 124.08°
Fractional coordinates of all 4 atoms:
Er  0.000  0.000  0.000
Er  0.417  0.667  0.750
Er  0.917  0.667  0.250
Tm  0.499  0.999  0.500



<2>
A plane-wave DFT calculation with PBE-GGA was carried out for a relaxed structure of Er3Tm.

Summary:
* calculated volume: 30.17 A^3/atom

a = 4.942 Å, b = 4.942 Å, c = 4.942 Å
α = 90.00°, β = 90.00°, γ = 90.00°
Fractional coordinates of all 4 atoms:
Er  0.000  0.000  0.500
Er  0.000  0.500  0.000
Er  0.500  0.000  0.000
Tm  0.500  0.500  0.500



Energetically preferred structure: <1> | next structure: +2.7 kJ/mol of atoms



<1>
A plane-wave DFT calculation with PBE-GGA was carried out for a relaxed structure of Er3Tm.

Summary:
* calculated volume: 30.13 A^3/atom

a = 6.053 Å, b = 6.053 Å, c = 6.053 Å
α = 131.87°, β = 131.87°, γ = 70.43°
Fractional coordinates of all 4 atoms:
Er  0.000  0.000  0.000
Er  0.250  0.750  0.500
Er  0.750  0.250  0.500
Tm  0.500  0.500  0.000



<2>
A plane-wave DFT calculation with PBE-GGA was carried out for a relaxed structure of Er3Tm.

Summary:
* calculated volume: 30.76 A^3/atom

a = 5.583 Å, b = 5.583 Å, c = 5.583 Å
α = 60.00°, β = 60.00°, γ = 60.00°
Fractional coordinates of all 4 atoms:
Er  0.000  0.000  0.000
Er  0.250  0.250  0.250
Er  0.750  0.750  0.750
Tm  0.500  0.500  0.500



Energetically preferred structure: <1> | next structure: +11.3 kJ/mol of atoms



<1>
A plane-wave DFT calculation with PBE-GGA was carried out for a relaxed structure of Er3Tm2.

Summary:
* calculated volume: 30.48 A^3/atom

a = 6.586 Å, b = 6.586 Å, c = 9.028 Å
α = 107.53°, β = 107.53°, γ = 55.91°
Fractional coordinates of all 10 atoms:
Er  0.033  0.366  0.650
Er  0.167  0.833  0.750
Er  0.366  0.033  0.150
Er  0.634  0.967  0.850
Er  0.833  0.167  0.250
Er  0.967  0.634  0.350
Tm  0.234  0.566  0.050
Tm  0.434  0.766  0.450
Tm  0.566  0.234  0.550
Tm  0.766  0.434  0.950



<2>
A plane-wave DFT calculation with PBE-GGA was carried out for a relaxed structure of Er3Tm2.

Summary:
* calculated volume: 30.38 A^3/atom

a = 8.876 Å, b = 6.574 Å, c = 10.082 Å
α = 60.10°, β = 39.95°, γ = 79.95°
Fractional coordinates of all 10 atoms:
Er  0.000  0.000  0.000
Er  0.250  0.250  0.250
Er  0.397  0.703  0.400
Er  0.703  0.397  0.500
Er  0.750  0.850  0.547
Er  0.850  0.750  0.853
Tm  0.168  0.495  0.930
Tm  0.320  0.843  0.082
Tm  0.495  0.168  0.407
Tm  0.843  0.320  0.755



Energetically preferred structure: <1> | next structure: +4.9 kJ/mol of atoms



<1>
A plane-wave DFT calculation with PBE-GGA was carried out for a relaxed structure of Er2Tm.

Summary:
* calculated volume: 30.13 A^3/atom

a = 7.836 Å, b = 7.836 Å, c = 7.836 Å
α = 154.29°, β = 154.29°, γ = 36.67°
Fractional coordinates of all 3 atoms:
Er  0.166  0.166  0.000
Er  0.834  0.834  0.000
Tm  0.500  0.500  0.000



<2>
A plane-wave DFT calculation with PBE-GGA was carried out for a relaxed structure of Er2Tm.

Summary:
* calculated volume: 31.75 A^3/atom

a = 6.459 Å, b = 6.459 Å, c = 6.459 Å
α = 60.00°, β = 60.00°, γ = 60.00°
Fractional coordinates of all 6 atoms:
Er  0.000  0.000  0.000
Er  0.000  0.000  0.500
Er  0.000  0.500  0.000
Er  0.500  0.000  0.000
Tm  0.375  0.375  0.375
Tm  0.625  0.625  0.625



Energetically preferred structure: <1> | next structure: +22.8 kJ/mol of atoms